1.
Compound: Pr2SmS4
Source: Alexandria via LeMat-Bulk
Functional: PBE-GGA
Structure: relaxed

Values from the calculation:
The total magnetization is 0.000 μB/atom. The calculation puts the energy relative to the lowest polymorph listed for this composition at 3 meV per atom. The density of states at the Fermi level is 1.9 states/eV/f.u. As for the uncorrected formation energy: -1358.2 kJ/mol of formula units. The calculated total energy comes out at -179.460 eV/cell.

Cell: 3.9396 13.5977 13.5367 Å, 90.00 90.00 90.00°
Last column: nearest neighbours and their distance in Å.
Space group Cmcm (No. 63)
One atom of each set of equivalent atoms:
Pr: 0.0000 0.1294 0.0716 (multiplicity 8)  6 S 2.81-2.94
Sm: 0.0000 0.3731 0.2500 (multiplicity 4)  6 S 2.81-2.90
S: 0.0000 0.0207 0.2500 (multiplicity 4)  2 Sm 2.81, 2 Pr 2.83
S: 0.0000 0.2216 0.6247 (multiplicity 8)  2 Sm 2.90, 3 Pr 2.92-2.94
S: 0.0000 0.5000 0.0000 (multiplicity 4)  4 Pr 2.81

2.
Compound: CePa2Ta
Source: Alexandria via LeMat-Bulk
Functional: PBE-GGA
Structure: relaxed

Values from the calculation:
The calculation puts the formation energy from the elements at 0.1923 eV/atom. The total magnetization is 0.000 μB/atom. The calculation puts the energy relative to the lowest polymorph listed for this composition at 0 meV per atom. The density of states at the Fermi level is 8.0 states/eV/f.u. The calculated total energy comes out at -36.009 eV/cell.

Cell: 3.4457 3.4457 8.0591 Å, 90.00 90.00 90.00°
Last column: nearest neighbours and their distance in Å.
Space group P4/mmm (No. 123)
One atom of each set of equivalent atoms:
Ce: 0.0000 0.0000 0.0000 (multiplicity 1)  8 Pa 3.27, 4 Ce 3.45
Pa: 0.5000 0.5000 0.2707 (multiplicity 2)  4 Ta 3.06, 4 Ce 3.27
Ta: 0.0000 0.0000 0.5000 (multiplicity 1)  8 Pa 3.06

3.
Compound: ScRu2Rh
Source: Alexandria via LeMat-Bulk
Functional: PBE-GGA
Structure: relaxed

Values from the calculation:
The calculation puts the formation energy from the elements at 0.1312 eV/atom. The total magnetization is 0.000 μB/atom. The density of states at the Fermi level is 5.7 states/eV/f.u. The calculated total energy comes out at -95.130 eV/cell.

Cell: 2.8394 2.8394 26.5325 Å, 90.00 90.00 120.00°
Last column: nearest neighbours and their distance in Å.
Space group R-3m (No. 166, hexagonal axes)
One atom of each set of equivalent atoms:
Sc: 0.0000 0.0000 0.0000 (multiplicity 3)  6 Ru 2.79, 6 Sc 2.84
Ru: 0.0000 0.0000 0.2482 (multiplicity 6)  3 Rh 2.72, 3 Sc 2.79, 6 Ru 2.84
Rh: 0.0000 0.0000 0.5000 (multiplicity 3)  6 Ru 2.72, 6 Rh 2.84

4.
Compound: ScGePd2
Source: Alexandria via LeMat-Bulk
Functional: PBE-GGA
Structure: relaxed

Values from the calculation:
The calculation puts the formation energy from the elements at -0.7122 eV/atom. The total magnetization is 0.000 μB/atom. The density of states at the Fermi level is 2.3 states/eV/f.u. The calculated total energy comes out at -24.183 eV/cell.

Cell: 4.2195 4.2195 3.7228 Å, 90.00 90.00 90.00°
Last column: nearest neighbours and their distance in Å.
Space group P4/mmm (No. 123)
One atom of each set of equivalent atoms:
Sc: 0.0000 0.0000 0.0000 (multiplicity 1)  8 Pd 2.81, 4 Ge 2.98
Ge: 0.5000 0.5000 0.0000 (multiplicity 1)  8 Pd 2.81, 4 Sc 2.98
Pd: 0.0000 0.5000 0.5000 (multiplicity 2)  4 Ge 2.81, 4 Sc 2.81, 4 Pd 2.98

5.
Compound: PmNd6Pd3
Source: Alexandria via LeMat-Bulk
Functional: PBE-GGA
Structure: relaxed

Values from the calculation:
The calculation puts the formation energy from the elements at -0.4256 eV/atom. The total magnetization is 0.000 μB/atom. The density of states at the Fermi level is 11.5 states/eV/f.u. The calculated total energy comes out at -212.768 eV/cell.

Cell: 11.9230 13.5410 7.3915 Å, 90.00 90.00 90.00°
Last column: nearest neighbours and their distance in Å.
Space group Cmc2_1 (No. 36)
One atom of each set of equivalent atoms:
Pm: 0.0000 0.1754 0.0000 (multiplicity 4)  1 Pd 2.88
Nd: 0.0000 0.2668 0.5212 (multiplicity 4)  3 Pd 2.89-2.91
Nd: 0.0000 0.4627 0.8813 (multiplicity 4)  4 Pd 3.17-3.21
Nd: 0.1713 0.0421 0.3690 (multiplicity 8)  4 Pd 2.85-3.01
Nd: 0.2255 0.3048 0.2138 (multiplicity 8)  2 Pd 3.07-3.21
Pd: 0.0000 0.0682 0.6634 (multiplicity 4)  1 Pm 2.88, 5 Nd 2.89-3.01
Pd: 0.1827 0.4057 0.5798 (multiplicity 8)  5 Nd 2.85-3.17

6.
Compound: AlPd3Pt
Source: Alexandria via LeMat-Bulk
Functional: PBE-GGA
Structure: relaxed

Values from the calculation:
The calculation puts the formation energy from the elements at 0.3691 eV/atom. The total magnetization is 0.000 μB/atom. The calculation puts the energy relative to the lowest polymorph listed for this composition at 777 meV per atom. The density of states at the Fermi level is 5.3 states/eV/f.u. The calculated total energy comes out at -23.516 eV/cell.

Cell: 4.4819 4.4819 4.4819 Å, 90.00 90.00 90.00°
Last column: nearest neighbours and their distance in Å.
Space group Pm-3m (No. 221)
One atom of each set of equivalent atoms:
Al: 0.0000 0.0000 0.0000 (multiplicity 1)  6 Pd 2.24
Pd: 0.0000 0.0000 0.5000 (multiplicity 3)  2 Al 2.24
Pt: 0.5000 0.5000 0.5000 (multiplicity 1)  12 Pd 3.17

7.
Compound: NbGa
Source: Alexandria via LeMat-Bulk
Functional: PBE-GGA
Structure: relaxed

Values from the calculation:
The calculation puts the formation energy from the elements at 1.0186 eV/atom. The total magnetization is 0.000 μB/atom. The density of states at the Fermi level is 1.9 states/eV/f.u. The calculated total energy comes out at -88.475 eV/cell.

Cell: 8.2499 8.2499 8.2499 Å, 90.00 90.00 90.00°
Last column: nearest neighbours and their distance in Å.
Space group I-43m (No. 217)
One atom of each set of equivalent atoms:
Nb: 0.1157 0.1157 0.8843 (multiplicity 8)  4 Ga 2.67-2.76, 3 Nb 2.70
Ga: 0.1977 0.1977 0.1977 (multiplicity 8)  4 Nb 2.67-2.76

8.
Compound: LiNi2PbI
Source: Alexandria via LeMat-Bulk
Functional: PBE-GGA
Structure: relaxed

Values from the calculation:
The total magnetization is 0.000 μB/atom. The density of states at the Fermi level is 2.4 states/eV/f.u. As for the uncorrected formation energy: 373.2 kJ/mol of formula units. The calculated total energy comes out at -14.867 eV/cell.

Cell: 4.5831 4.5831 4.8888 Å, 90.00 90.00 90.00°
Last column: nearest neighbours and their distance in Å.
Space group P4/mmm (No. 123)
One atom of each set of equivalent atoms:
Li: 0.0000 0.0000 0.0000 (multiplicity 1)  4 Ni 2.29, 2 Pb 2.44
Ni: 0.0000 0.5000 0.0000 (multiplicity 2)  2 Li 2.29
Pb: 0.0000 0.0000 0.5000 (multiplicity 1)  2 Li 2.44
I: 0.5000 0.5000 0.5000 (multiplicity 1)  4 Pb 3.24, 8 Ni 3.35

Look up the total magnetization of the third one.
0.000 μB/atom